No. 1
## YMgBeAu (GGA-PBE)

Data for a relaxed YMgBeAu crystal.

Results
mass density	7109	kg/m3
space group	F-43m (216)

POSCAR file:
```
YMgBeAu
1.0
0.0000 3.3406 3.3406
3.3406 0.0000 3.3406
3.3406 3.3406 0.0000
Mg Be Y Au
1 1 1 1
Direct
0.2500 0.2500 0.2500
0.5000 0.5000 0.5000
0.0000 0.0000 0.0000
0.7500 0.7500 0.7500
```

No. 2
## YMgBeAu (GGA-PBE)

Data for a relaxed YMgBeAu crystal.

Results
mass density	7431	kg/m3
space group	F-43m (216)

POSCAR file:
```
YMgBeAu
1.0
1.8208 1.1172 4.1360
-1.8954 3.4160 2.5313
-2.3136 -1.0102 3.9110
Mg Y Be Au
1 1 1 1
Direct
0.5000 0.5000 0.5000
0.2500 0.2500 0.2500
0.0000 0.0000 0.0000
0.7500 0.7500 0.7500
```

No. 3
## BeMo2Au (GGA-PBE)

Data for a relaxed BeMo2Au crystal.

Results
mass density	10995	kg/m3
space group	F-43m (216)

POSCAR file:
```
BeMo2Au
1.0
0.6444 -0.0898 4.3480
-3.3534 0.7740 2.7357
-1.6774 -3.2768 2.4036
Mo Be Au
2 1 1
Direct
0.7500 0.7500 0.7500
0.0000 0.0000 0.0000
0.5000 0.5000 0.5000
0.2500 0.2500 0.2500
```

No. 4
## BeMoAu2 (GGA-PBE)

Data for a relaxed BeMoAu2 crystal.

Results
mass density	13282	kg/m3
space group	F-43m (216)

POSCAR file:
```
BeMoAu2
1.0
0.0000 3.1477 3.1477
3.1477 0.0000 3.1477
3.1477 3.1477 0.0000
Mo Au Be
1 2 1
Direct
0.2500 0.2500 0.2500
0.0000 0.0000 0.0000
0.7500 0.7500 0.7500
0.5000 0.5000 0.5000
```

no.,VASP energy (Ha/atom)
1,-0.14397
2,-0.14513
3,-0.24915
4,-0.17870